Entry 1:
# Sm2GdDy, optimized geometry, DFT PBE
# Energy relative to the elements = 189 meV per atom
# M_tot = 1.6559 μB/atom
data_Sm2GdDy
_chemical_formula_sum 'Sm6 Gd3 Dy3'
_space_group_name_H-M_alt 'R -3 m'
_space_group_IT_number 166
_space_group_name_Hall '-R 3 2"'
_cell_length_a 3.5140
_cell_length_b 3.5140
_cell_length_c 37.5387
_cell_angle_alpha 90.00
_cell_angle_beta 90.00
_cell_angle_gamma 120.00
loop_
_atom_site_label
_atom_site_type_symbol
_atom_site_fract_x
_atom_site_fract_y
_atom_site_fract_z
_atom_site_occupancy
Sm1 Sm 0.0000 0.0000 0.0890 1
Gd1 Gd 0.0000 0.0000 0.5000 1
Dy1 Dy 0.0000 0.0000 0.0000 1

***

Entry 2:
# Rb3BaNa, optimized geometry, DFT PBE
# Energy relative to the elements = 510 meV per atom
# M_tot = 0.3163 μB/atom
data_Rb3BaNa
_chemical_formula_sum 'Rb3 Ba1 Na1'
_space_group_name_H-M_alt 'P m -3 m'
_space_group_IT_number 221
_space_group_name_Hall '-P 4 2 3'
_cell_length_a 8.420
_cell_length_b 8.420
_cell_length_c 8.420
_cell_angle_alpha 90.00
_cell_angle_beta 90.00
_cell_angle_gamma 90.00
loop_
_atom_site_label
_atom_site_type_symbol
_atom_site_fract_x
_atom_site_fract_y
_atom_site_fract_z
_atom_site_occupancy
Rb1 Rb 0.000 0.000 0.500 1
Ba1 Ba 0.000 0.000 0.000 1
Na1 Na 0.500 0.500 0.500 1

***

| no. | energy above the most stable polymorph in this dataset (meV per atom) |
| --- | --- |
| 1 | 175.0 |
| 2 | 287.1 |